## TiZnSn (PBE-GGA)

Data for crystalline TiZnSn at its relaxed geometry.

Cell: 5.838 4.038 9.713 Å, 90.00 108.33 90.00°
Fractional positions:
Zn  0.899  0.000  0.792
Zn  0.734  0.500  0.977
Zn  0.899  0.500  0.292
Zn  0.734  0.000  0.477
Ti  0.567  0.500  0.647
Ti  0.567  0.000  0.147
Ti  0.231  0.000  0.447
Ti  0.231  0.500  0.947
Sn  0.050  0.500  0.610
Sn  0.050  0.000  0.110
Sn  0.428  0.000  0.812
Sn  0.428  0.500  0.312

- Space-group type: Cm (8)
- Formation energy: -0.1773 eV per atom



## Y4HoSc4 (PBE-GGA)

Data for crystalline Y4HoSc4 at its relaxed geometry.

Cell: 4.848 7.679 9.076 Å, 53.70 74.51 71.60°
Fractional positions:
Y  0.277  0.107  0.339
Y  0.723  0.893  0.661
Y  0.836  0.330  0.999
Y  0.164  0.670  0.001
Sc  0.947  0.764  0.342
Sc  0.605  0.450  0.339
Sc  0.395  0.550  0.661
Sc  0.053  0.236  0.658
Ho  0.500  0.000  0.000

- Space-group type: C2/m (12)
- Formation energy: 0.0606 eV per atom



Please write out number 2 again, unchanged.
## Y4HoSc4 (PBE-GGA)

Data for crystalline Y4HoSc4 at its relaxed geometry.

Cell: 4.848 7.679 9.076 Å, 53.70 74.51 71.60°
Fractional positions:
Y  0.277  0.107  0.339
Y  0.723  0.893  0.661
Y  0.836  0.330  0.999
Y  0.164  0.670  0.001
Sc  0.947  0.764  0.342
Sc  0.605  0.450  0.339
Sc  0.395  0.550  0.661
Sc  0.053  0.236  0.658
Ho  0.500  0.000  0.000

- Space-group type: C2/m (12)
- Formation energy: 0.0606 eV per atom



> Among the records above, which one has the highest formation energy?

Y4HoSc4



> Among the records above, which one has the highest formation energy?

Y4HoSc4



> What is the formation energy in the second record?

0.0606 eV per atom